Density functional theory data (meta-GGA SCAN) for a PBEsol-optimized structure of Tl2InHg.

Cell lengths 5.9857, 5.9857, 5.9857 Å; angles 135.38, 135.38, 64.94 degrees
Element x y z (fractional)
1 Tl 0.0000 0.0000 0.0000
2 Tl 0.7500 0.2500 0.5000
3 In 0.2500 0.7500 0.5000
4 Hg 0.5000 0.5000 0.0000

Calculated values
* V: 26.1 A^3/atom
* total magnetization: 0.0 μB per formula unit
* energy above the most stable polymorph in this dataset: 0.0360 eV per atom
* space group: I-4m2, No. 119
* DFT total energy: -4.5213 Ry per atom
* mass density: 11.53 Mg/m³
* energy relative to the elements: 0.051 eV per atom